[1]
Sr2ReOs: PBEsol geometry, SCAN.

Geometry as POSCAR:
```
Sr2ReOs
1.0
4.886 0.000 0.000
2.443 4.231 0.000
2.443 1.410 3.989
Os Re Sr
1 1 2
Direct
0.500 0.500 0.500 Os
0.250 0.250 0.250 Re
0.000 0.000 0.000 Sr
0.750 0.750 0.750 Sr
```

Properties
- Excess energy over the best structure of this formula in the dataset: 0.0000 eV per atom



[2]
Sr2ReOs: PBEsol geometry, SCAN.

Geometry as POSCAR:
```
Sr2ReOs
1.0
-1.917 2.031 0.410
-2.070 -1.878 -0.391
-0.029 -2.038 9.952
Os Re Sr
1 1 2
Direct
0.500 0.500 0.000 Os
0.500 0.500 0.500 Re
0.000 0.000 0.757 Sr
0.000 0.000 0.243 Sr
```

Properties
- Excess energy over the best structure of this formula in the dataset: 0.0215 eV per atom



[3]
SrRe2Os: PBEsol geometry, SCAN.

Geometry as POSCAR:
```
SrRe2Os
1.0
3.866 0.000 0.000
0.000 3.866 0.000
0.000 0.000 4.647
Os Re Sr
1 2 1
Direct
0.000 0.000 0.500 Os
0.000 0.500 0.000 Re
0.500 0.000 0.000 Re
0.500 0.500 0.500 Sr
```



[4]
TaReOs2: PBEsol geometry, SCAN.

Geometry as POSCAR:
```
TaReOs2
1.0
2.783 0.000 0.000
0.000 3.860 0.000
0.000 0.000 5.581
Os Re Ta
2 1 1
Direct
0.000 0.000 0.763 Os
0.000 0.000 0.237 Os
0.500 0.500 0.000 Re
0.500 0.500 0.500 Ta
```



Sequential ΔH_f (0 K) output: 1.2308 1.2523 1.5569 -0.1062 eV per atom